La3Tb5Tm | GGA-PBE | optimized geometry

```
18
Lattice="6.205 -4.123 0.000 6.205 4.123 0.000 -2.208 0.000 12.579" Properties=species:S:1:pos:R:3 pbc="T T T"
La 0.000 0.000 0.000
La -1.104 0.000 6.289
La 2.138 0.000 6.709
La 2.994 0.000 9.854
La 7.209 0.000 2.725
La 8.064 0.000 5.870
Tb 4.085 2.495 2.769
Tb 3.156 0.000 0.301
Tb 6.205 1.481 0.000
Tb 6.117 2.495 9.809
Tb 4.673 0.000 4.738
Tb 5.529 0.000 7.840
Tb 4.085 -2.495 2.769
Tb 6.205 -1.481 0.000
Tb 7.046 0.000 12.278
Tb 6.117 -2.495 9.809
Tm 1.180 0.000 3.286
Tm 9.022 0.000 9.293
```

Values from the calculation:
* energy relative to the elements: 41.3 kJ per mole of atoms
* crystal system: monoclinic
* DOS at the Fermi energy: 1.686 states/eV per atom

La4TbTm5 | GGA-PBE | optimized geometry

```
10
Lattice="8.532 -1.759 0.000 8.532 1.759 0.000 -0.033 0.000 11.468" Properties=species:S:1:pos:R:3 pbc="T T T"
La 0.582 0.000 2.856
La 5.717 0.000 2.872
La 11.314 0.000 8.596
La 16.449 0.000 8.613
Tb 8.516 0.000 5.734
Tm 2.934 0.000 0.505
Tm 2.937 0.000 5.199
Tm 8.532 0.000 0.000
Tm 14.094 0.000 6.269
Tm 14.097 0.000 10.964
```

Values from the calculation:
* energy relative to the elements: 19.3 kJ per mole of atoms
* crystal system: monoclinic
* DOS at the Fermi energy: 1.467 states/eV per atom

La6Tb2Tm5 | GGA-PBE | optimized geometry

```
26
Lattice="11.798 0.000 0.000 0.000 20.720 0.000 0.000 0.000 3.635" Properties=species:S:1:pos:R:3 pbc="T T T"
La 0.641 1.649 0.000
La 0.940 7.575 0.000
La 2.073 13.087 1.818
La 3.826 2.727 1.818
La 4.959 17.935 0.000
La 5.259 12.010 0.000
La 6.540 8.711 0.000
La 6.839 2.785 0.000
La 7.972 17.994 1.818
La 9.725 7.633 1.818
La 10.858 13.145 0.000
La 11.158 19.071 0.000
Tb 1.934 16.351 0.000
Tb 3.965 5.991 0.000
Tb 7.833 14.729 0.000
Tb 9.864 4.369 0.000
Tm 0.000 10.360 1.818
Tm 1.121 4.674 1.818
Tm 2.399 19.533 1.818
Tm 3.500 9.173 1.818
Tm 4.778 15.034 1.818
Tm 5.899 0.000 1.818
Tm 7.020 5.686 1.818
Tm 8.298 11.547 1.818
Tm 9.399 1.187 1.818
Tm 10.678 16.046 1.818
```

Values from the calculation:
* energy relative to the elements: 11.2 kJ per mole of atoms
* crystal system: orthorhombic
* DOS at the Fermi energy: 1.400 states/eV per atom

La7Tb2Tm2 | GGA-PBE | optimized geometry

```
11
Lattice="5.869 -5.709 0.000 5.869 5.709 0.000 -2.204 0.000 5.728" Properties=species:S:1:pos:R:3 pbc="T T T"
La 0.000 0.000 0.000
La 1.870 3.172 4.667
La 1.378 0.000 3.517
La 7.665 3.172 1.062
La 1.870 -3.172 4.667
La 8.156 0.000 2.211
La 7.665 -3.172 1.062
Tb 4.767 3.202 2.864
Tb 4.767 -3.202 2.864
Tm 4.542 0.000 1.182
Tm 4.993 0.000 4.546
```

Values from the calculation:
* energy relative to the elements: 13.3 kJ per mole of atoms
* crystal system: monoclinic
* DOS at the Fermi energy: 1.453 states/eV per atom

La3Tb4Tm4 | GGA-PBE | optimized geometry

```
11
Lattice="3.601 0.000 0.000 -0.002 5.051 0.000 -1.797 -2.521 19.717" Properties=species:S:1:pos:R:3 pbc="T T T"
La 0.000 0.000 0.000
La 0.003 0.005 14.296
La 1.800 2.524 5.420
Tb 0.000 0.000 7.253
Tb 0.001 0.005 17.878
Tb 1.801 2.524 1.839
Tb 1.803 2.530 12.463
Tm 0.001 -0.001 3.580
Tm 0.002 0.003 10.727
Tm 1.801 2.526 8.990
Tm 1.802 2.531 16.136
```

Values from the calculation:
* energy relative to the elements: 2.9 kJ per mole of atoms
* crystal system: triclinic
* DOS at the Fermi energy: 1.415 states/eV per atom

La3Tb2Tm3 | GGA-PBE | optimized geometry

```
16
Lattice="16.516 0.000 0.000 0.000 5.755 0.000 -2.122 0.000 5.665" Properties=species:S:1:pos:R:3 pbc="T T T"
La 0.000 0.000 0.000
La 0.759 0.000 3.968
La 5.376 2.877 1.698
La 8.258 2.877 0.000
La 9.017 2.877 3.968
La 13.634 0.000 1.698
Tb 2.667 2.877 3.849
Tb 3.469 0.000 1.817
Tb 10.925 0.000 3.849
Tb 11.727 2.877 1.817
Tm -1.061 2.877 2.833
Tm 2.021 2.877 0.459
Tm 4.114 0.000 5.206
Tm 7.197 0.000 2.833
Tm 10.279 0.000 0.459
Tm 12.372 2.877 5.206
```

Values from the calculation:
* energy relative to the elements: 9.2 kJ per mole of atoms
* crystal system: monoclinic
* DOS at the Fermi energy: 1.703 states/eV per atom